# ScSbI2O

Crystalline ScSbI2O at its relaxed geometry (GGA-PBE, Alexandria via LeMat-Bulk).

a b c (Å): 5.1039 5.1039 4.7039
angles (deg): 90.00 90.00 90.00
Space group P4/mmm (No. 123)
Asymmetric unit:
Sc 0.0000 0.0000 0.0000 [1 per cell]
Sb 0.5000 0.5000 0.0000 [1 per cell]
I 0.0000 0.5000 0.5000 [2 per cell]
O 0.5000 0.5000 0.5000 [1 per cell]

Uncorrected formation energy = 2.6 meV/atom
Crystal system = tetragonal
Size of the total moment = 0.00 μB per formula unit
Excess energy over the best structure of this formula in the dataset = 996.6 meV/atom
DOS at the Fermi energy = 0.612 states/eV per atom
Total DFT energy (no corrections) = -18.50 eV per formula unit



# ScSbI2O

Crystalline ScSbI2O at its relaxed geometry (GGA-PBE, Alexandria via LeMat-Bulk).

a b c (Å): 6.0238 6.0238 3.8555
angles (deg): 90.00 90.00 90.00
Space group P4/mmm (No. 123)
Asymmetric unit:
Sc 0.0000 0.0000 0.0000 [1 per cell]
Sb 0.5000 0.5000 0.5000 [1 per cell]
I 0.0000 0.5000 0.0000 [2 per cell]
O 0.0000 0.0000 0.5000 [1 per cell]

Uncorrected formation energy = -994.0 meV/atom
Crystal system = tetragonal
Size of the total moment = 0.00 μB per formula unit
Excess energy over the best structure of this formula in the dataset = 0.0 meV/atom
DOS at the Fermi energy = 0.625 states/eV per atom
Total DFT energy (no corrections) = -23.48 eV per formula unit



# ScSbI2O

Crystalline ScSbI2O at its relaxed geometry (GGA-PBE, Alexandria via LeMat-Bulk).

a b c (Å): 6.1804 6.1804 4.0686
angles (deg): 90.00 90.00 90.00
Space group P4/mmm (No. 123)
Asymmetric unit:
Sc 0.0000 0.0000 0.0000 [1 per cell]
Sb 0.5000 0.5000 0.5000 [1 per cell]
I 0.0000 0.5000 0.5000 [2 per cell]
O 0.5000 0.5000 0.0000 [1 per cell]

Uncorrected formation energy = -201.3 meV/atom
Crystal system = tetragonal
Size of the total moment = 1.59 μB per formula unit
Excess energy over the best structure of this formula in the dataset = 792.7 meV/atom
DOS at the Fermi energy = 1.192 states/eV per atom
Total DFT energy (no corrections) = -19.52 eV per formula unit



# ScSbI2O

Crystalline ScSbI2O at its relaxed geometry (GGA-PBE, Alexandria via LeMat-Bulk).

a b c (Å): 5.4832 5.4832 5.8241
angles (deg): 90.00 90.00 90.00
Space group P4/mmm (No. 123)
Asymmetric unit:
Sc 0.0000 0.0000 0.0000 [1 per cell]
Sb 0.0000 0.0000 0.5000 [1 per cell]
I 0.0000 0.5000 0.0000 [2 per cell]
O 0.5000 0.5000 0.5000 [1 per cell]

Uncorrected formation energy = 289.6 meV/atom
Crystal system = tetragonal
Size of the total moment = 0.00 μB per formula unit
Excess energy over the best structure of this formula in the dataset = 1283.5 meV/atom
DOS at the Fermi energy = 2.218 states/eV per atom
Total DFT energy (no corrections) = -17.06 eV per formula unit



# SbSeIO2

Crystalline SbSeIO2 at its relaxed geometry (GGA-PBE, Alexandria via LeMat-Bulk).

a b c (Å): 4.0366 4.0366 6.8884
angles (deg): 90.00 90.00 90.00
Space group P4/mmm (No. 123)
Asymmetric unit:
Sb 0.0000 0.0000 0.0000 [1 per cell]
Se 0.5000 0.5000 0.5000 [1 per cell]
I 0.0000 0.0000 0.5000 [1 per cell]
O 0.0000 0.5000 0.0000 [2 per cell]

Uncorrected formation energy = -284.7 meV/atom
Crystal system = tetragonal
Size of the total moment = 0.00 μB per formula unit
Excess energy over the best structure of this formula in the dataset = 0.0 meV/atom
DOS at the Fermi energy = 0.562 states/eV per atom
Total DFT energy (no corrections) = -20.50 eV per formula unit



# SbSeIO2

Crystalline SbSeIO2 at its relaxed geometry (GGA-PBE, Alexandria via LeMat-Bulk).

a b c (Å): 4.1357 4.1357 6.1509
angles (deg): 90.00 90.00 90.00
Space group P4/mmm (No. 123)
Asymmetric unit:
Sb 0.0000 0.0000 0.0000 [1 per cell]
Se 0.5000 0.5000 0.5000 [1 per cell]
I 0.5000 0.5000 0.0000 [1 per cell]
O 0.0000 0.5000 0.5000 [2 per cell]

Uncorrected formation energy = 353.1 meV/atom
Crystal system = tetragonal
Size of the total moment = 0.74 μB per formula unit
Excess energy over the best structure of this formula in the dataset = 637.8 meV/atom
DOS at the Fermi energy = 0.579 states/eV per atom
Total DFT energy (no corrections) = -17.31 eV per formula unit



# SbSe2IO

Crystalline SbSe2IO at its relaxed geometry (GGA-PBE, Alexandria via LeMat-Bulk).

a b c (Å): 5.2753 5.2753 6.0959
angles (deg): 90.00 90.00 90.00
Space group P4/mmm (No. 123)
Asymmetric unit:
Sb 0.0000 0.0000 0.0000 [1 per cell]
Se 0.0000 0.5000 0.0000 [2 per cell]
I 0.0000 0.0000 0.5000 [1 per cell]
O 0.5000 0.5000 0.5000 [1 per cell]

Uncorrected formation energy = 964.7 meV/atom
Crystal system = tetragonal
Size of the total moment = 0.41 μB per formula unit
DOS at the Fermi energy = 2.375 states/eV per atom
Total DFT energy (no corrections) = -12.78 eV per formula unit



# SiSbIO2

Crystalline SiSbIO2 at its relaxed geometry (GGA-PBE, Alexandria via LeMat-Bulk).

a b c (Å): 3.9586 3.9586 5.7365
angles (deg): 90.00 90.00 90.00
Space group P4/mmm (No. 123)
Asymmetric unit:
Si 0.0000 0.0000 0.0000 [1 per cell]
Sb 0.5000 0.5000 0.5000 [1 per cell]
I 0.0000 0.0000 0.5000 [1 per cell]
O 0.0000 0.5000 0.0000 [2 per cell]

Uncorrected formation energy = -49.7 meV/atom
Crystal system = tetragonal
Size of the total moment = 1.00 μB per formula unit
DOS at the Fermi energy = 0.355 states/eV per atom
Total DFT energy (no corrections) = -21.26 eV per formula unit